No. 1
Computed, not measured: a relaxed Tb2NdDy9 crystal at the PBE level of DFT.

abc: 5.029 5.029 15.086
angles: 90.00 90.00 90.00
Atoms (fractional coordinates):
Tb: 0.000 0.000 0.166
Tb: 0.000 0.000 0.834
Nd: 0.000 0.000 0.500
Dy: 0.000 0.500 0.000
Dy: 0.000 0.500 0.332
Dy: 0.000 0.500 0.668
Dy: 0.500 0.000 0.000
Dy: 0.500 0.000 0.332
Dy: 0.500 0.000 0.668
Dy: 0.500 0.500 0.166
Dy: 0.500 0.500 0.500
Dy: 0.500 0.500 0.834

Summary:
The calculated formation energy is 0.02 eV per atom.

No. 2
Computed, not measured: a relaxed NpPaGa crystal at the PBE level of DFT.

abc: 2.956 2.956 14.396
angles: 90.00 90.00 90.00
Atoms (fractional coordinates):
Np: 0.000 0.000 0.000
Np: 0.500 0.500 0.500
Pa: 0.000 0.000 0.677
Pa: 0.500 0.500 0.177
Ga: 0.000 0.000 0.341
Ga: 0.500 0.500 0.841

Summary:
The calculated formation energy is 0.05 eV per atom.

No. 3
Computed, not measured: a relaxed BeVSe crystal at the PBE level of DFT.

abc: 3.455 4.329 7.809
angles: 83.59 89.66 66.49
Atoms (fractional coordinates):
Be: 0.000 0.000 0.000
Be: 0.379 0.245 0.909
V: 0.678 0.647 0.895
V: 0.926 0.156 0.707
Se: 0.242 0.513 0.144
Se: 0.607 0.798 0.577

Summary:
The calculation puts the uncorrected formation energy at -0.77 eV per formula unit.

No. 4
Computed, not measured: a relaxed Pr6As2IrSe3 crystal at the PBE level of DFT.

abc: 9.594 9.594 8.661
angles: 103.27 103.27 25.60
Atoms (fractional coordinates):
Pr: 0.001 0.001 0.235
Pr: 0.331 0.331 0.422
Pr: 0.340 0.340 0.914
Pr: 0.660 0.660 0.086
Pr: 0.669 0.669 0.578
Pr: 0.999 0.999 0.765
As: 0.167 0.167 0.335
As: 0.833 0.833 0.665
Ir: 0.500 0.500 0.000
Se: 0.170 0.170 0.833
Se: 0.500 0.500 0.500
Se: 0.830 0.830 0.167

Summary:
The calculation puts the uncorrected formation energy at -18.43 eV per formula unit.

No. 5
Computed, not measured: a relaxed Nd12Tl5Ni2 crystal at the PBE level of DFT.

abc: 10.298 10.298 9.343
angles: 114.76 114.76 41.78
Atoms (fractional coordinates):
Nd: 0.000 0.000 0.229
Nd: 0.000 0.000 0.771
Nd: 0.086 0.607 0.336
Nd: 0.098 0.596 0.840
Nd: 0.393 0.914 0.664
Nd: 0.404 0.902 0.160
Nd: 0.482 0.482 0.659
Nd: 0.518 0.518 0.341
Nd: 0.596 0.098 0.840
Nd: 0.607 0.086 0.336
Nd: 0.902 0.404 0.160
Nd: 0.914 0.393 0.664
Tl: 0.248 0.248 0.003
Tl: 0.253 0.253 0.498
Tl: 0.500 0.500 0.000
Tl: 0.747 0.747 0.502
Tl: 0.752 0.752 0.997
Ni: 0.166 0.834 0.500
Ni: 0.834 0.166 0.500

Summary:
The calculated formation energy is -0.18 eV per atom.

No. 6
Computed, not measured: a relaxed LiDyRh crystal at the PBE level of DFT.

abc: 7.008 3.967 12.244
angles: 90.00 90.22 90.00
Atoms (fractional coordinates):
Li: 0.009 0.250 0.083
Li: 0.127 0.750 0.536
Li: 0.373 0.250 0.196
Li: 0.627 0.750 0.804
Li: 0.873 0.250 0.464
Li: 0.991 0.750 0.917
Dy: 0.053 0.750 0.284
Dy: 0.339 0.250 0.917
Dy: 0.454 0.250 0.621
Dy: 0.546 0.750 0.379
Dy: 0.661 0.750 0.083
Dy: 0.947 0.250 0.716
Rh: 0.243 0.750 0.749
Rh: 0.255 0.750 0.076
Rh: 0.260 0.250 0.410
Rh: 0.740 0.750 0.590
Rh: 0.745 0.250 0.924
Rh: 0.757 0.250 0.251

Summary:
The calculated formation energy is -0.54 eV per atom.

No. 7
Computed, not measured: a relaxed Sr2LaMgH crystal at the PBE level of DFT.

abc: 5.475 5.475 5.221
angles: 90.00 90.00 90.00
Atoms (fractional coordinates):
Sr: 0.000 0.500 0.000
Sr: 0.500 0.000 0.000
La: 0.000 0.000 0.500
Mg: 0.500 0.500 0.500
H: 0.000 0.000 0.000

Summary:
The value obtained for the electronic total energy is -2.71 eV per atom.

No. 8
Computed, not measured: a relaxed Be2TlFe crystal at the PBE level of DFT.

abc: 3.964 3.964 15.662
angles: 90.00 90.00 90.00
Atoms (fractional coordinates):
Be: 0.013 0.750 0.125
Be: 0.250 0.013 0.875
Be: 0.250 0.487 0.375
Be: 0.487 0.750 0.625
Be: 0.513 0.250 0.625
Be: 0.750 0.513 0.375
Be: 0.750 0.987 0.875
Be: 0.987 0.250 0.125
Tl: 0.000 0.000 0.500
Tl: 0.000 0.500 0.750
Tl: 0.500 0.000 0.250
Tl: 0.500 0.500 0.000
Fe: 0.000 0.000 0.000
Fe: 0.000 0.500 0.250
Fe: 0.500 0.000 0.750
Fe: 0.500 0.500 0.500

Summary:
The calculated formation energy is 0.67 eV per atom.

No. 9
Computed, not measured: a relaxed SiNiPH crystal at the PBE level of DFT.

abc: 3.909 3.646 3.928
angles: 90.00 117.50 90.00
Atoms (fractional coordinates):
Si: 0.000 0.000 0.000
Ni: 0.382 0.500 0.009
P: 0.036 0.500 0.373
H: 0.637 0.000 0.632

Summary:
The value obtained for the electronic total energy is -5.04 eV per atom.

No. 10
Computed, not measured: a relaxed NdAl2Ni2Pt crystal at the PBE level of DFT.

abc: 4.651 4.651 5.493
angles: 90.00 90.00 90.00
Atoms (fractional coordinates):
Nd: 0.000 0.000 0.000
Al: 0.000 0.500 0.500
Al: 0.500 0.000 0.500
Ni: 0.500 0.500 0.242
Ni: 0.500 0.500 0.758
Pt: 0.000 0.000 0.500

Summary:
The calculated formation energy is -0.24 eV per atom.

No. 11
Computed, not measured: a relaxed InBrF crystal at the PBE level of DFT.

abc: 4.497 5.373 7.154
angles: 68.29 89.85 90.00
Atoms (fractional coordinates):
In: 0.249 0.386 0.228
In: 0.751 0.614 0.772
Br: 0.249 0.848 0.306
Br: 0.751 0.152 0.694
F: 0.250 0.554 0.889
F: 0.750 0.446 0.111

Summary:
The calculation puts the uncorrected formation energy at -4.26 eV per formula unit.

No. 12
Computed, not measured: a relaxed ZnH2O crystal at the PBE level of DFT.

abc: 5.685 3.280 4.570
angles: 90.00 90.87 90.00
Atoms (fractional coordinates):
Zn: 0.000 0.000 0.000
Zn: 0.500 0.500 0.000
H: 0.340 0.000 0.397
H: 0.497 0.500 0.658
H: 0.840 0.500 0.397
H: 0.997 0.000 0.658
O: 0.336 0.000 0.181
O: 0.836 0.500 0.181

Summary:
The value obtained for the electronic total energy is -3.90 eV per atom.